i.
# Nd2TmMg2

Crystalline Nd2TmMg2 at its relaxed geometry (PBE-GGA, Alexandria via LeMat-Bulk).

abc: 3.8346 5.4558 14.2437
angles: 90.00 97.76 90.00
Last column: nearest neighbours and their distance in Å.
Fractional coordinates of all 10 atoms:
Nd 0.0455 0.7500 0.0906  8 Mg 3.29-3.43
Nd 0.9545 0.2500 0.9094  8 Mg 3.29-3.43
Nd 0.2357 0.7500 0.4733  2 Mg 3.33, 4 Nd 3.41-3.42, 2 Tm 3.67
Nd 0.7643 0.2500 0.5267  2 Mg 3.33, 4 Nd 3.41-3.42, 2 Tm 3.67
Tm 0.8498 0.7500 0.7002  6 Mg 3.28-3.35, 2 Nd 3.67
Tm 0.1502 0.2500 0.2998  6 Mg 3.28-3.35, 2 Nd 3.67
Mg 0.6401 0.7500 0.2804  4 Nd 3.29-3.33, 4 Tm 3.34-3.35, 2 Mg 3.63
Mg 0.3599 0.2500 0.7196  4 Nd 3.29-3.33, 4 Tm 3.34-3.35, 2 Mg 3.63
Mg 0.4445 0.7500 0.8891  2 Tm 3.28, 6 Nd 3.35-3.43, 2 Mg 3.63
Mg 0.5555 0.2500 0.1109  2 Tm 3.28, 6 Nd 3.35-3.43, 2 Mg 3.63

The total magnetic moment is 0.0 μB per formula unit.

=====

ii.
# Nd2TmMg2

Crystalline Nd2TmMg2 at its relaxed geometry (PBE-GGA, Alexandria via LeMat-Bulk).

abc: 5.2374 6.0267 6.0267
angles: 71.02 64.25 64.25
Last column: nearest neighbours and their distance in Å.
Fractional coordinates of all 5 atoms:
Nd 0.1947 0.3053 0.3053  1 Nd 3.23, 6 Mg 3.24-3.41
Nd 0.8053 0.6947 0.6947  1 Nd 3.23, 6 Mg 3.24-3.41
Tm 0.0000 0.0000 0.0000  4 Mg 3.31, 4 Nd 3.64
Mg 0.5000 0.2894 0.7106  1 Mg 2.95, 2 Nd 3.24
Mg 0.5000 0.7106 0.2894  1 Mg 2.95, 2 Nd 3.24

The total magnetic moment is 0.0 μB per formula unit.

=====

Most stable structure, least stable structure: i, ii.

=====

i.
# Nd3TmMg

Crystalline Nd3TmMg at its relaxed geometry (PBE-GGA, Alexandria via LeMat-Bulk).

abc: 3.6143 9.4334 11.1524
angles: 90.00 90.00 112.56
Last column: nearest neighbours and their distance in Å.
Fractional coordinates of all 10 atoms:
Nd 0.0581 0.8079 0.4821  3 Tm 3.44-3.56, 2 Mg 3.47-3.48, 6 Nd 3.61-3.83
Nd 0.9419 0.1921 0.5179  3 Tm 3.44-3.56, 2 Mg 3.47-3.48, 6 Nd 3.61-3.83
Nd 0.0581 0.8079 0.0179  3 Tm 3.44-3.56, 2 Mg 3.47-3.48, 6 Nd 3.61-3.83
Nd 0.9419 0.1921 0.9821  3 Tm 3.44-3.56, 2 Mg 3.47-3.48, 6 Nd 3.61-3.83
Nd 0.4221 0.6730 0.7500  2 Mg 3.27-3.28, 2 Tm 3.40, 2 Nd 3.61
Nd 0.5779 0.3270 0.2500  2 Mg 3.27-3.28, 2 Tm 3.40, 2 Nd 3.61
Tm 0.2532 0.0036 0.7500  1 Mg 3.10, 4 Nd 3.40-3.44
Tm 0.7468 0.9964 0.2500  1 Mg 3.10, 4 Nd 3.40-3.44
Mg 0.6079 0.3596 0.7500  1 Tm 3.10, 2 Nd 3.27-3.28
Mg 0.3921 0.6404 0.2500  1 Tm 3.10, 2 Nd 3.27-3.28

The total magnetic moment is 0.0 μB per formula unit.

=====

ii.
# Nd3TmMg

Crystalline Nd3TmMg at its relaxed geometry (PBE-GGA, Alexandria via LeMat-Bulk).

abc: 3.5486 8.5654 11.4995
angles: 108.04 98.88 90.00
Last column: nearest neighbours and their distance in Å.
Fractional coordinates of all 10 atoms:
Nd 0.0176 0.2239 0.0352  4 Mg 3.47-3.55, 8 Nd 3.51-3.71
Nd 0.9824 0.7761 0.9648  4 Mg 3.47-3.55, 8 Nd 3.51-3.71
Nd 0.3777 0.9637 0.7555  8 Nd 3.55-3.76, 1 Mg 3.56, 3 Tm 3.57-3.59
Nd 0.6223 0.0363 0.2445  8 Nd 3.55-3.76, 1 Mg 3.56, 3 Tm 3.57-3.59
Nd 0.1765 0.4431 0.3531  3 Tm 3.47-3.56, 2 Mg 3.47, 7 Nd 3.51-3.76
Nd 0.8235 0.5569 0.6469  3 Tm 3.47-3.56, 2 Mg 3.47, 7 Nd 3.51-3.76
Tm 0.7345 0.8204 0.4691  4 Tm 3.43-3.55, 6 Nd 3.47-3.59, 1 Mg 3.50
Tm 0.2655 0.1796 0.5309  4 Tm 3.43-3.55, 6 Nd 3.47-3.59, 1 Mg 3.50
Mg 0.5762 0.5993 0.1524  3 Mg 3.35-3.55, 7 Nd 3.47-3.56, 1 Tm 3.50
Mg 0.4238 0.4007 0.8476  3 Mg 3.35-3.55, 7 Nd 3.47-3.56, 1 Tm 3.50

The total magnetic moment is 0.0 μB per formula unit.

=====

Most stable structure, least stable structure: ii, i.

=====

i.
# Nd4Tm2Mg

Crystalline Nd4Tm2Mg at its relaxed geometry (PBE-GGA, Alexandria via LeMat-Bulk).

abc: 3.6679 5.9478 11.6415
angles: 111.03 90.00 90.00
Last column: nearest neighbours and their distance in Å.
Fractional coordinates of all 7 atoms:
Nd 0.5000 0.1892 0.2524  2 Mg 3.30, 3 Tm 3.36-3.45, 6 Nd 3.52-3.67
Nd 0.5000 0.8108 0.7476  2 Mg 3.30, 3 Tm 3.36-3.45, 6 Nd 3.52-3.67
Nd 0.0000 0.3406 0.7939  6 Nd 3.52-3.67, 2 Mg 3.65-3.79, 3 Tm 3.77-3.86
Nd 0.0000 0.6594 0.2061  6 Nd 3.52-3.67, 2 Mg 3.65-3.79, 3 Tm 3.77-3.86
Tm 0.0000 0.5000 0.5000  4 Nd 3.36, 6 Tm 3.49-3.67
Tm 0.5000 0.0000 0.5000  6 Nd 3.45-3.77, 6 Tm 3.49-3.67
Mg 0.0000 0.0000 0.0000  6 Nd 3.30-3.65, 2 Mg 3.67

The total magnetic moment is 0.0 μB per formula unit.

=====

ii.
# Nd4Tm2Mg

Crystalline Nd4Tm2Mg at its relaxed geometry (PBE-GGA, Alexandria via LeMat-Bulk).

abc: 3.5169 8.7034 8.6404
angles: 116.54 101.74 90.00
Last column: nearest neighbours and their distance in Å.
Fractional coordinates of all 7 atoms:
Nd 0.9171 0.2947 0.8342  5 Nd 3.39-3.63, 3 Tm 3.41-3.47, 1 Mg 3.44
Nd 0.0829 0.7053 0.1658  5 Nd 3.39-3.63, 3 Tm 3.41-3.47, 1 Mg 3.44
Nd 0.6357 0.3984 0.2713  8 Nd 3.52-3.87, 3 Tm 3.61-3.63, 2 Mg 3.62
Nd 0.3643 0.6016 0.7287  8 Nd 3.52-3.87, 3 Tm 3.61-3.63, 2 Mg 3.62
Tm 0.7810 0.8604 0.5620  1 Mg 3.33, 6 Nd 3.41-3.63, 4 Tm 3.52
Tm 0.2190 0.1396 0.4380  1 Mg 3.33, 6 Nd 3.41-3.63, 4 Tm 3.52
Mg 0.0000 0.0000 0.0000  2 Tm 3.33, 6 Nd 3.44-3.62, 2 Mg 3.52

The total magnetic moment is 0.0 μB per formula unit.

=====

Most stable structure, least stable structure: ii, i.

=====

i.
# NdTm4Mg2

Crystalline NdTm4Mg2 at its relaxed geometry (PBE-GGA, Alexandria via LeMat-Bulk).

abc: 3.4512 3.4938 17.3547
angles: 95.78 90.00 90.00
Last column: nearest neighbours and their distance in Å.
Fractional coordinates of all 7 atoms:
Nd 0.0000 0.5000 0.0000  4 Nd 3.45-3.49, 8 Tm 3.59
Tm 0.5000 0.0760 0.1521  8 Tm 3.45-3.49, 4 Nd 3.59
Tm 0.0000 0.3531 0.7063  4 Mg 3.35, 8 Tm 3.45-3.49
Tm 0.5000 0.9240 0.8479  8 Tm 3.45-3.49, 4 Nd 3.59
Tm 0.0000 0.6469 0.2937  4 Mg 3.35, 8 Tm 3.45-3.49
Mg 0.5000 0.2129 0.4258  4 Mg 3.10-3.45, 4 Tm 3.35
Mg 0.5000 0.7871 0.5742  4 Mg 3.10-3.45, 4 Tm 3.35

The total magnetic moment is 0.0 μB per formula unit.

=====

ii.
# NdTm4Mg2

Crystalline NdTm4Mg2 at its relaxed geometry (PBE-GGA, Alexandria via LeMat-Bulk).

abc: 5.1355 5.1355 10.7969
angles: 76.24 76.24 60.00
Last column: nearest neighbours and their distance in Å.
Fractional coordinates of all 7 atoms:
Nd 0.5000 0.5000 0.5000  2 Mg 3.13
Tm 0.7020 0.7020 0.8939  4 Mg 3.12-3.16
Tm 0.8963 0.8963 0.3110  3 Mg 3.19, 3 Nd 3.56
Tm 0.2980 0.2980 0.1061  4 Mg 3.12-3.16
Tm 0.1037 0.1037 0.6890  3 Mg 3.19, 3 Nd 3.56
Mg 0.6004 0.6004 0.1987  7 Tm 3.12-3.19, 1 Nd 3.13
Mg 0.3996 0.3996 0.8013  7 Tm 3.12-3.19, 1 Nd 3.13

The total magnetic moment is 0.6 μB per formula unit.

=====

Most stable structure, least stable structure: i, ii.

=====

i.
# Nd8Tm2Mg

Crystalline Nd8Tm2Mg at its relaxed geometry (PBE-GGA, Alexandria via LeMat-Bulk).

abc: 6.0129 8.2737 8.2737
angles: 87.84 80.69 80.69
Last column: nearest neighbours and their distance in Å.
Fractional coordinates of all 11 atoms:
Nd 0.7772 0.1313 0.6530  1 Tm 3.30, 2 Nd 3.34-3.63, 1 Mg 3.43
Nd 0.2228 0.3470 0.8687  1 Tm 3.30, 2 Nd 3.34-3.63, 1 Mg 3.43
Nd 0.9123 0.2710 0.2710  1 Mg 3.15, 3 Nd 3.19-3.34, 1 Tm 3.21
Nd 0.0877 0.7290 0.7290  1 Mg 3.15, 3 Nd 3.19-3.34, 1 Tm 3.21
Nd 0.7772 0.6530 0.1313  1 Tm 3.30, 2 Nd 3.34-3.63, 1 Mg 3.43
Nd 0.2228 0.8687 0.3470  1 Tm 3.30, 2 Nd 3.34-3.63, 1 Mg 3.43
Nd 0.2927 0.4193 0.4193  2 Nd 3.19-3.47, 1 Tm 3.37
Nd 0.7073 0.5807 0.5807  2 Nd 3.19-3.47, 1 Tm 3.37
Tm 0.5118 0.1329 0.1329  1 Mg 3.01, 1 Tm 3.20, 3 Nd 3.21-3.30
Tm 0.4882 0.8671 0.8671  1 Mg 3.01, 1 Tm 3.20, 3 Nd 3.21-3.30
Mg 0.0000 0.0000 0.0000  2 Tm 3.01, 2 Nd 3.15

The total magnetic moment is 0.0 μB per formula unit.

=====

ii.
# Nd8Tm2Mg

Crystalline Nd8Tm2Mg at its relaxed geometry (PBE-GGA, Alexandria via LeMat-Bulk).

abc: 5.4947 10.4544 8.4613
angles: 51.84 89.89 89.83
Last column: nearest neighbours and their distance in Å.
Fractional coordinates of all 11 atoms:
Nd 0.5014 0.6945 0.2761  7 Nd 3.44-3.77, 2 Tm 3.52-3.64, 2 Mg 3.72
Nd 0.5012 0.9704 0.7240  7 Nd 3.44-3.77, 2 Tm 3.52-3.65, 2 Mg 3.72
Nd 0.9999 0.6603 0.0000  7 Nd 3.42-3.77, 1 Mg 3.51, 4 Tm 3.61
Nd 0.0001 0.7439 0.5066  2 Tm 3.22, 1 Mg 3.37, 4 Nd 3.58-3.59
Nd 0.9999 0.2503 0.4934  2 Tm 3.22, 1 Mg 3.37, 4 Nd 3.58-3.59
Nd 0.0001 0.3335 0.0000  7 Nd 3.42-3.77, 1 Mg 3.53, 4 Tm 3.61
Nd 0.4988 0.0236 0.2759  7 Nd 3.44-3.77, 2 Tm 3.51-3.65, 2 Mg 3.73
Nd 0.4986 0.2994 0.7240  7 Nd 3.44-3.77, 2 Tm 3.52-3.64, 2 Mg 3.73
Tm 0.5000 0.3766 0.2409  1 Tm 3.21, 4 Nd 3.22-3.52
Tm 0.5000 0.6173 0.7591  1 Tm 3.21, 4 Nd 3.22-3.52
Mg 0.0000 0.9962 0.0000  12 Nd 3.37-3.73

The total magnetic moment is 0.0 μB per formula unit.

=====

Most stable structure, least stable structure: ii, i.

=====

i.
# Nd2TmMg4

Crystalline Nd2TmMg4 at its relaxed geometry (PBE-GGA, Alexandria via LeMat-Bulk).

abc: 5.3610 5.3610 8.4674
angles: 71.54 71.54 60.00
Last column: nearest neighbours and their distance in Å.
Fractional coordinates of all 7 atoms:
Nd 0.7142 0.7142 0.8574  3 Tm 3.29, 5 Mg 3.32-3.50
Nd 0.2858 0.2858 0.1426  3 Tm 3.29, 5 Mg 3.32-3.50
Tm 0.0000 0.0000 0.0000  2 Mg 3.26, 6 Nd 3.29
Mg 0.8622 0.8622 0.4134  6 Mg 3.24-3.38, 1 Tm 3.26, 1 Nd 3.50
Mg 0.1378 0.1378 0.5866  6 Mg 3.24-3.38, 1 Tm 3.26, 1 Nd 3.50
Mg 0.5689 0.5689 0.2933  4 Mg 3.24-3.26, 4 Nd 3.32-3.44
Mg 0.4311 0.4311 0.7067  4 Mg 3.24-3.26, 4 Nd 3.32-3.44

The total magnetic moment is 0.0 μB per formula unit.

=====

ii.
# Nd2TmMg4

Crystalline Nd2TmMg4 at its relaxed geometry (PBE-GGA, Alexandria via LeMat-Bulk).

abc: 5.5580 5.5580 9.0649
angles: 107.85 107.85 90.00
Last column: nearest neighbours and their distance in Å.
Fractional coordinates of all 7 atoms:
Nd 0.6078 0.6078 0.2156  5 Mg 3.29-3.40, 1 Nd 3.52
Nd 0.3922 0.3922 0.7844  5 Mg 3.29-3.40, 1 Nd 3.52
Tm 0.0000 0.0000 0.0000  6 Mg 2.78-3.01
Mg 0.8157 0.8157 0.6315  1 Tm 3.01
Mg 0.1843 0.1843 0.3685  1 Tm 3.01
Mg 0.0000 0.5000 0.0000  2 Tm 2.78
Mg 0.5000 0.0000 0.0000  2 Tm 2.78

The total magnetic moment is 0.0 μB per formula unit.

=====

Most stable structure, least stable structure: i, ii.